[1]
Material: CsNb3Ge
Method: DFT, GGA-PBE
State: optimized geometry

Geometry as CIF:
```
data_CsNb3Ge
_symmetry_space_group_name_H-M 'P m -3 m'
_symmetry_Int_Tables_number 221
_symmetry_space_group_name_Hall '-P 4 2 3'
_cell_length_a 5.038
_cell_length_b 5.038
_cell_length_c 5.038
_cell_angle_alpha 90.00
_cell_angle_beta 90.00
_cell_angle_gamma 90.00
loop_
_atom_site_label
_atom_site_fract_x
_atom_site_fract_y
_atom_site_fract_z
Cs1 0.000 0.000 0.000
Nb1 0.000 0.000 0.500
Ge1 0.500 0.500 0.500
```

Properties
As for the total magnetization: 0.0 μB/f.u. The calculation puts the calculated formation energy at 2.7094 eV per atom. The total energy comes out at -4.427 eV/atom. The excess energy over the best structure of this formula in the dataset comes out at 1250 meV/atom. The density comes out at 6.289 Mg/m³.

---

[2]
Material: CsNbGeP2
Method: DFT, GGA-PBE
State: optimized geometry

Geometry as CIF:
```
data_CsNbGeP2
_symmetry_space_group_name_H-M 'P 4/m m m'
_symmetry_Int_Tables_number 123
_symmetry_space_group_name_Hall '-P 4 2'
_cell_length_a 5.028
_cell_length_b 5.028
_cell_length_c 5.022
_cell_angle_alpha 90.00
_cell_angle_beta 90.00
_cell_angle_gamma 90.00
loop_
_atom_site_label
_atom_site_fract_x
_atom_site_fract_y
_atom_site_fract_z
Cs1 0.000 0.000 0.000
Nb1 0.500 0.500 0.000
Ge1 0.500 0.500 0.500
P1 0.000 0.500 0.500
```

Properties
As for the total magnetization: 2.5 μB/f.u. The calculation puts the calculated formation energy at 0.9362 eV per atom. The total energy comes out at -4.336 eV/atom. The density comes out at 4.713 Mg/m³.

---

[3]
Material: Cs2NbGeP
Method: DFT, GGA-PBE
State: optimized geometry

Geometry as CIF:
```
data_Cs2NbGeP
_symmetry_space_group_name_H-M 'P 4/m m m'
_symmetry_Int_Tables_number 123
_symmetry_space_group_name_Hall '-P 4 2'
_cell_length_a 6.472
_cell_length_b 6.472
_cell_length_c 5.147
_cell_angle_alpha 90.00
_cell_angle_beta 90.00
_cell_angle_gamma 90.00
loop_
_atom_site_label
_atom_site_fract_x
_atom_site_fract_y
_atom_site_fract_z
Cs1 0.000 0.500 0.000
Nb1 0.000 0.000 0.000
Ge1 0.000 0.000 0.500
P1 0.500 0.500 0.500
```

Properties
As for the total magnetization: 4.7 μB/f.u. The calculation puts the calculated formation energy at 1.0797 eV per atom. The total energy comes out at -3.281 eV/atom. The density comes out at 3.561 Mg/m³.